VASP calculation (GGA-PBE) on a relaxed Tc3WBr crystal.

Lattice parameters (Å, degrees): 4.477 4.477 4.477 90.00 90.00 90.00
Space group Pm-3m (No. 221)
Symmetry-distinct sites (fractional):
Tc (0.000, 0.000, 0.500) [3 per cell]
W (0.500, 0.500, 0.500) [1 per cell]
Br (0.000, 0.000, 0.000) [1 per cell]

Values from the calculation:
Its density is 10.3 g/cm3. The value obtained for the uncorrected energy is -7.2491 eV per atom. The formation energy from raw total energies comes out at 1896 meV per atom. The value obtained for the total magnetization is 0.000 μB per atom.